# 1
4
Lattice="4.694 0.000 0.000 0.000 4.694 0.000 0.000 0.000 6.685" Properties=species:S:1:pos:R:3 comment="AcLaTlTe | Alexandria | PBE | optimized geometry" space_group="No. 123" volume_a3_per_cell=147.27 magmom_total_mub_per_fu=0.00 formation_energy_uncorrected_ev_per_atom=-0.9130 e_tot_ev_per_atom=-4.5490 pbc="T T T"
Ac 0.000 0.000 3.342
La 2.347 2.347 0.000
Tl 2.347 2.347 3.342
Te 0.000 0.000 0.000



# 2
6
Lattice="-2.994 2.511 0.654 -0.134 -1.147 3.790 5.217 3.325 -0.880" Properties=species:S:1:pos:R:3 comment="PaGa2Ni2H | Alexandria | PBE | optimized geometry" space_group="No. 139" volume_a3_per_cell=87.67 magmom_total_mub_per_fu=0.00 e_tot_ev_per_atom=-5.3463 pbc="T T T"
Pa -1.564 0.682 2.222
Ga 1.759 1.429 2.566
Ga 0.329 3.259 0.998
Ni 1.136 3.643 3.214
Ni 0.953 1.045 0.350
H 0.000 0.000 0.000



# 3
8
Lattice="3.917 0.000 0.000 0.000 4.436 0.000 0.000 0.000 11.209" Properties=species:S:1:pos:R:3 comment="La4GaNi3 | Alexandria | PBE | optimized geometry" space_group="No. 25" volume_a3_per_cell=194.79 magmom_total_mub_per_fu=0.00 e_tot_ev_per_atom=-5.3847 ef_mev_per_atom=-375 pbc="T T T"
La 1.959 2.218 4.195
La 0.000 2.218 9.536
La 0.000 0.000 1.596
La 1.959 0.000 7.038
Ga 1.959 2.218 0.709
Ni 0.000 2.218 6.427
Ni 0.000 0.000 4.851
Ni 1.959 0.000 10.484



# 4
5
Lattice="5.522 0.000 0.000 0.000 5.522 0.000 0.000 0.000 5.522" Properties=species:S:1:pos:R:3 comment="Ca3LaRu | Alexandria | PBE | optimized geometry" space_group="No. 221" volume_a3_per_cell=168.39 relative_energy_ev_per_atom=0.000 magmom_total_mub_per_fu=0.00 e_tot_ev_per_atom=-3.8066 ef_mev_per_atom=235 pbc="T T T"
Ru 0.000 0.000 0.000
Ca 0.000 2.761 0.000
Ca 0.000 0.000 2.761
Ca 2.761 0.000 0.000
La 2.761 2.761 2.761



# 5
11
Lattice="4.863 0.000 0.000 0.000 4.863 0.000 -2.431 -2.431 12.843" Properties=species:S:1:pos:R:3 comment="Ac2La4Ge3O2 | Alexandria | PBE | optimized geometry" space_group="No. 139" volume_a3_per_cell=303.70 magmom_total_mub_per_fu=0.00 formation_energy_uncorrected_ev_per_atom=-1.5202 e_tot_ev_per_atom=-6.2197 pbc="T T T"
Ac 0.000 0.000 7.739
Ac 2.431 2.431 5.104
La 0.000 2.431 10.825
La 2.431 0.000 10.825
La 0.000 2.431 2.018
La 2.431 0.000 2.018
Ge 0.000 0.000 0.000
Ge 0.000 0.000 4.408
Ge 2.431 2.431 8.435
O 0.000 0.000 10.266
O 2.431 2.431 2.578



# 6
10
Lattice="4.182 0.000 0.000 0.000 4.182 0.000 0.000 0.000 10.976" Properties=species:S:1:pos:R:3 comment="Pm2HfGe3Ir4 | Alexandria | PBE | optimized geometry" space_group="No. 115" volume_a3_per_cell=191.93 magmom_total_mub_per_fu=0.00 e_tot_ev_per_atom=-7.7076 ef_mev_per_atom=-833 pbc="T T T"
Pm 2.091 0.000 2.566
Pm 0.000 2.091 8.410
Hf 2.091 2.091 5.488
Ge 0.000 0.000 5.488
Ge 2.091 0.000 9.593
Ge 0.000 2.091 1.383
Ir 2.091 2.091 0.000
Ir 0.000 0.000 0.000
Ir 2.091 0.000 7.107
Ir 0.000 2.091 3.869



# 7
80
Lattice="13.862 0.000 0.000 -4.621 13.069 0.000 -4.621 -6.534 11.318" Properties=species:S:1:pos:R:3 comment="In12Ga3F5 | Alexandria | PBE | optimized geometry" space_group="No. 230" volume_a3_per_cell=2050.29 magmom_total_mub_per_fu=0.00 formation_energy_uncorrected_ev_per_atom=-0.6090 e_tot_ev_per_atom=-3.1739 pbc="T T T"
Ga 8.086 4.084 1.415
Ga 8.086 8.985 1.415
Ga -1.155 5.718 7.074
Ga 1.155 -0.817 4.244
Ga 10.396 0.000 2.829
Ga 1.155 6.534 2.829
Ga 3.465 0.000 8.488
Ga -5.776 6.534 8.488
Ga 3.465 7.351 7.074
Ga 5.776 0.817 4.244
Ga -3.465 -2.450 9.903
Ga -3.465 2.450 9.903
F -1.155 3.267 2.829
F -2.310 6.534 0.000
F 0.000 0.000 0.000
F 3.465 2.450 1.415
F 4.621 -3.267 5.659
F 4.621 6.534 0.000
F -3.465 7.351 4.244
F 5.776 -4.084 9.903
F 5.776 5.718 4.244
F 1.155 -3.267 8.488
F 3.465 9.802 2.829
F 2.310 3.267 5.659
F 6.931 0.000 0.000
F -2.310 -3.267 5.659
F -1.155 0.817 7.074
F -1.155 10.618 1.415
F -4.621 3.267 5.659
F 8.086 -0.817 7.074
F 1.155 4.084 9.903
F 5.776 3.267 8.488
In 9.188 1.345 0.407
In 0.053 4.292 4.698
In 10.295 3.093 3.225
In 5.877 2.021 1.368
In 1.795 4.907 7.687
In 9.833 6.474 2.028
In -1.054 7.606 4.593
In -3.566 11.048 1.368
In 0.515 8.161 7.687
In 6.339 6.595 2.028
In 6.984 3.587 4.291
In 6.984 11.724 0.407
In -4.105 5.843 6.066
In 2.902 4.809 1.066
In -4.674 9.481 4.291
In 2.364 -2.243 6.620
In -0.515 0.936 2.434
In 2.902 8.321 0.961
In 5.877 9.976 3.225
In -0.592 4.748 0.961
In -2.826 7.470 8.884
In 3.364 5.462 4.593
In 6.415 7.226 6.066
In 5.213 -1.726 10.251
In 1.256 1.072 6.725
In -1.795 -0.691 5.252
In -0.592 8.260 1.066
In -1.256 -3.441 8.093
In 7.446 -0.936 2.434
In 5.213 1.786 10.357
In 1.718 -1.786 10.357
In 2.257 8.777 4.698
In 5.136 5.599 8.884
In 9.294 -2.947 7.027
In 8.726 0.691 5.252
In -2.364 -5.190 10.911
In 1.718 1.726 10.251
In 4.105 -1.627 3.631
In -1.718 -0.061 9.290
In -2.364 2.947 7.027
In 8.187 -4.513 9.950
In 5.675 -1.072 6.725
In -1.256 4.513 9.950
In -5.213 0.061 9.290
In 2.826 1.627 3.631
In -5.675 3.441 8.093
In 4.567 2.243 6.620
In -4.567 5.190 10.911



# 8
15
Lattice="7.814 0.000 0.000 -3.907 6.766 -0.025 0.000 -4.492 6.179" Properties=species:S:1:pos:R:3 comment="Li3Er3NpS8 | Alexandria | PBE | optimized geometry" space_group="No. 166" volume_a3_per_cell=325.76 magmom_total_mub_per_fu=3.00 formation_energy_uncorrected_ev_per_atom=-1.7108 e_tot_ev_per_atom=-6.0702 pbc="T T T"
Li 0.000 0.000 0.000
Li -1.953 3.383 -0.012
Li 1.953 3.383 -0.012
Er 3.907 -2.246 3.089
Er 1.953 1.137 3.077
Er -1.953 1.137 3.077
Np 0.000 -2.246 3.089
S 0.000 2.259 1.545
S 3.907 0.015 4.608
S 3.907 2.292 1.579
S 0.000 -0.018 4.575
S 5.889 -1.140 1.591
S -1.982 3.414 4.563
S 1.925 -1.140 1.591
S 1.982 3.414 4.563



# 9
26
Lattice="11.802 -0.037 -4.119 -5.790 10.284 -4.119 -0.021 -0.037 12.500" Properties=species:S:1:pos:R:3 comment="K8Na5 | Alexandria | PBE | optimized geometry" space_group="No. 160" volume_a3_per_cell=1510.89 magmom_total_mub_per_fu=0.00 e_tot_ev_per_atom=-1.1691 ef_mev_per_atom=14 pbc="T T T"
K 1.800 3.068 1.281
K 2.217 3.779 9.350
K -1.366 10.188 -0.972
K 9.560 3.779 -0.972
K 3.911 6.666 -0.130
K 5.253 4.264 3.737
K 1.159 6.666 3.737
K 1.350 2.301 5.518
K -0.750 6.059 -0.534
K 5.655 2.301 -0.534
K 3.108 10.032 -2.745
K 9.525 3.521 3.836
K -0.219 7.608 7.740
K 6.748 3.521 7.740
K 7.241 7.608 -2.745
K -1.574 10.032 3.836
Na 4.907 8.365 3.491
Na 5.909 10.072 -5.871
Na 10.553 1.764 7.508
Na -3.609 10.072 7.508
Na 5.994 10.217 0.458
Na 7.749 7.078 5.513
Na 2.398 10.217 5.513
Na 3.993 6.806 6.951
Na 2.098 10.196 1.493
Na 7.876 6.806 1.493



# 10
6
Lattice="3.812 0.000 0.000 -1.906 6.748 -0.289 0.000 -3.714 5.871" Properties=species:S:1:pos:R:3 comment="PuPa4Co | Alexandria | PBE | optimized geometry" space_group="No. 12" volume_a3_per_cell=146.96 magmom_total_mub_per_fu=0.00 e_tot_ev_per_atom=-9.6879 ef_mev_per_atom=216 pbc="T T T"
Pu 1.906 -1.857 2.936
Pa 0.000 5.011 0.186
Pa 0.000 -0.183 2.785
Pa 1.906 -1.976 5.396
Pa 1.906 3.217 2.797
Co 0.000 0.000 0.000



# 11
5
Lattice="5.548 0.000 0.000 0.000 5.548 0.000 0.000 0.000 5.172" Properties=species:S:1:pos:R:3 comment="Na2LiInCl | Alexandria | PBE | optimized geometry" space_group="No. 123" volume_a3_per_cell=159.17 magmom_total_mub_per_fu=0.00 formation_energy_uncorrected_ev_per_atom=-0.1628 e_tot_ev_per_atom=-1.9902 pbc="T T T"
Na 0.000 2.774 0.000
Na 2.774 0.000 0.000
Cl 2.774 2.774 2.586
Li 0.000 0.000 0.000
In 0.000 0.000 2.586



# 12
10
Lattice="3.674 -0.005 1.039 1.697 5.210 1.018 -0.435 -1.141 8.672" Properties=species:S:1:pos:R:3 comment="InGaPd3 | Alexandria | PBE | optimized geometry" space_group="No. 2" volume_a3_per_cell=170.68 relative_energy_ev_per_atom=0.000 magmom_total_mub_per_fu=0.00 e_tot_ev_per_atom=-4.7449 ef_mev_per_atom=-476 pbc="T T T"
In 1.530 2.727 8.754
In 3.407 1.337 1.975
Ga 2.624 3.168 4.738
Ga 2.313 0.896 5.991
Pd 4.540 4.706 5.000
Pd 0.396 -0.642 5.729
Pd 3.267 4.179 2.484
Pd 1.670 -0.116 8.245
Pd 3.933 2.388 7.282
Pd 1.004 1.675 3.447